# LiInAu2 | OQMD via LeMat-Bulk | GGA-PBE | optimized geometry
# VASP energy: -12.65 eV for the cell shown
data_LiInAu2
_cell_length_a 3.3269
_cell_length_b 3.3269
_cell_length_c 6.5197
_cell_angle_alpha 90.00
_cell_angle_beta 90.00
_cell_angle_gamma 90.00
_space_group_name_H-M_alt 'P 4/m m m'
_space_group_IT_number 123
_space_group_name_Hall '-P 4 2'
loop_
_atom_site_label
_atom_site_fract_x
_atom_site_fract_y
_atom_site_fract_z
Li1 0.0000 0.0000 0.0000
In1 0.0000 0.0000 0.5000
Au1 0.5000 0.5000 0.2202

=====

# Li8InAu2 | OQMD via LeMat-Bulk | GGA-PBE | optimized geometry
# VASP energy: -56.68 eV for the cell shown
data_Li8InAu2
_cell_length_a 7.6871
_cell_length_b 4.4280
_cell_length_c 10.5386
_cell_angle_alpha 90.00
_cell_angle_beta 104.19
_cell_angle_gamma 90.00
_space_group_name_H-M_alt 'C 1 2/m 1'
_space_group_IT_number 12
_space_group_name_Hall '-C 2y'
loop_
_atom_site_label
_atom_site_fract_x
_atom_site_fract_y
_atom_site_fract_z
Li1 0.0929 0.0000 0.2779
Li2 0.1324 0.5000 0.8974
Li3 0.1811 0.0000 0.5441
Li4 0.2280 0.5000 0.1834
In1 0.0000 0.0000 0.0000
Au1 0.0459 0.5000 0.6390

=====

# Li2InAu2 | OQMD via LeMat-Bulk | GGA-PBE | optimized geometry
# VASP energy: -30.78 eV for the cell shown
data_Li2InAu2
_cell_length_a 7.5039
_cell_length_b 7.5039
_cell_length_c 3.1172
_cell_angle_alpha 90.00
_cell_angle_beta 90.00
_cell_angle_gamma 90.00
_space_group_name_H-M_alt 'P 4/m b m'
_space_group_IT_number 127
_space_group_name_Hall '-P 4 2ab'
loop_
_atom_site_label
_atom_site_fract_x
_atom_site_fract_y
_atom_site_fract_z
Li1 0.1570 0.3430 0.0000
In1 0.0000 0.0000 0.5000
Au1 0.1385 0.6385 0.5000

=====

# LiInAu2 | OQMD via LeMat-Bulk | GGA-PBE | optimized geometry
# VASP energy: -25.62 eV for the cell shown
data_LiInAu2
_cell_length_a 4.5585
_cell_length_b 4.5585
_cell_length_c 8.4619
_cell_angle_alpha 90.00
_cell_angle_beta 90.00
_cell_angle_gamma 120.00
_space_group_name_H-M_alt 'P 63/m m c'
_space_group_IT_number 194
_space_group_name_Hall '-P 6c 2c'
loop_
_atom_site_label
_atom_site_fract_x
_atom_site_fract_y
_atom_site_fract_z
Li1 0.0000 0.0000 0.0000
In1 0.3333 0.6667 0.2500
Au1 0.3333 0.6667 0.5854

=====

# LiInAu2 | OQMD via LeMat-Bulk | GGA-PBE | optimized geometry
# VASP energy: -12.79 eV for the cell shown
data_LiInAu2
_cell_length_a 4.3965
_cell_length_b 4.3965
_cell_length_c 3.7535
_cell_angle_alpha 90.00
_cell_angle_beta 90.00
_cell_angle_gamma 90.00
_space_group_name_H-M_alt 'P 4/m m m'
_space_group_IT_number 123
_space_group_name_Hall '-P 4 2'
loop_
_atom_site_label
_atom_site_fract_x
_atom_site_fract_y
_atom_site_fract_z
Li1 0.0000 0.0000 0.0000
In1 0.5000 0.5000 0.0000
Au1 0.0000 0.5000 0.5000

=====

# LiInAu2 | OQMD via LeMat-Bulk | GGA-PBE | optimized geometry
# VASP energy: -50.51 eV for the cell shown
data_LiInAu2
_cell_length_a 6.6150
_cell_length_b 6.6150
_cell_length_c 6.6150
_cell_angle_alpha 90.00
_cell_angle_beta 90.00
_cell_angle_gamma 90.00
_space_group_name_H-M_alt 'F -4 3 m'
_space_group_IT_number 216
_space_group_name_Hall 'F -4 2 3'
loop_
_atom_site_label
_atom_site_fract_x
_atom_site_fract_y
_atom_site_fract_z
Li1 0.0000 0.0000 0.0000
In1 0.2500 0.2500 0.7500
Au1 0.0000 0.0000 0.5000
Au2 0.2500 0.2500 0.2500

=====

# LiInAu | OQMD via LeMat-Bulk | GGA-PBE | optimized geometry
# VASP energy: -35.93 eV for the cell shown
data_LiInAu
_cell_length_a 6.4210
_cell_length_b 6.4210
_cell_length_c 6.4210
_cell_angle_alpha 90.00
_cell_angle_beta 90.00
_cell_angle_gamma 90.00
_space_group_name_H-M_alt 'F -4 3 m'
_space_group_IT_number 216
_space_group_name_Hall 'F -4 2 3'
loop_
_atom_site_label
_atom_site_fract_x
_atom_site_fract_y
_atom_site_fract_z
Li1 0.0000 0.0000 0.0000
In1 0.0000 0.0000 0.5000
Au1 0.2500 0.2500 0.7500

=====

# LiLuInAu | OQMD via LeMat-Bulk | GGA-PBE | optimized geometry
# VASP energy: -56.28 eV for the cell shown
data_LiLuInAu
_cell_length_a 6.7981
_cell_length_b 6.7981
_cell_length_c 6.7981
_cell_angle_alpha 90.00
_cell_angle_beta 90.00
_cell_angle_gamma 90.00
_space_group_name_H-M_alt 'F -4 3 m'
_space_group_IT_number 216
_space_group_name_Hall 'F -4 2 3'
loop_
_atom_site_label
_atom_site_fract_x
_atom_site_fract_y
_atom_site_fract_z
Li1 0.0000 0.0000 0.0000
Lu1 0.2500 0.2500 0.2500
In1 0.0000 0.0000 0.5000
Au1 0.2500 0.2500 0.7500

=====

- Which formula does entry 3 have?
  Li2InAu2

=====

- What is the formula in the second record?
  Li8InAu2

=====

- What is the VASP energy in the sixth record?
  -50.51 eV for the cell shown

=====

- Among the records above, which one has the highest VASP energy?
  number 1